Entry 1:
GGA-PBEsol CaTlTe2, relaxed; V = 125.3 Å³/cell; size of the total moment = 0.0000 μB per atom; space group = P4mm (99); ΔE_f (raw) = -0.8722 eV per atom
1.0
-2.554 3.339 1.380
-3.584 -2.554 -0.453
0.659 -1.996 6.049
Te Ca Tl
2 1 1
direct
0.500 0.500 0.375
0.000 0.000 0.875
0.500 0.500 0.874
0.000 0.000 0.376

***

Entry 2:
GGA-PBEsol ReS2ICl, relaxed; V = 133.6 Å³/cell; size of the total moment = 1.0558 μB per atom; space group = P4/mmm (123); ΔE_f (raw) = 1.7532 eV per atom
1.0
5.127 0.000 0.000
0.000 5.127 0.000
0.000 0.000 5.083
S Cl I Re
2 1 1 1
direct
0.500 0.000 0.000
0.000 0.500 0.000
0.000 0.000 0.500
0.000 0.000 0.000
0.500 0.500 0.500

***

Entry 3:
GGA-PBEsol BaZn2Cl, relaxed; V = 104.4 Å³/cell; size of the total moment = 0.0001 μB per atom; space group = Imm2 (44); ΔE_f (raw) = -0.5387 eV per atom
1.0
-2.277 -4.232 0.484
5.421 -0.253 -0.814
-1.673 1.431 4.645
Ba Zn Cl
1 2 1
direct
0.482 0.964 0.482
0.707 0.414 0.207
0.070 0.140 0.070
0.241 0.482 0.741

***

Entry 4:
GGA-PBEsol Mn2Be2N, relaxed; V = 51.2 Å³/cell; size of the total moment = 0.0002 μB per atom; space group = I4/mmm (139); ΔE_f (raw) = 1.0129 eV per atom
1.0
-0.476 -2.816 -0.363
0.932 -0.502 2.677
-5.980 2.356 0.975
Be Mn N
2 2 1
direct
0.584 0.584 0.169
0.416 0.416 0.831
0.750 0.250 0.500
0.250 0.750 0.500
0.000 0.000 0.000

***

Entry 5:
GGA-PBEsol TaBiS2Cl, relaxed; V = 108.5 Å³/cell; size of the total moment = 0.0001 μB per atom; space group = P4/mmm (123); ΔE_f (raw) = -0.3088 eV per atom
1.0
4.740 0.000 0.000
0.000 4.783 0.000
0.000 0.000 4.783
Bi S Cl Ta
1 2 1 1
direct
0.500 0.500 0.500
0.000 0.000 0.500
0.000 0.500 0.000
0.500 0.000 0.000
0.000 0.000 0.000

***

Entry 6:
GGA-PBEsol KZn2Co, relaxed; polymorph energy (0 for the lowest one) = 133.7 meV per atom; V = 78.1 Å³/cell; size of the total moment = 0.0002 μB per atom; space group = P4mm (99)
1.0
-2.359 2.091 0.662
-0.373 -1.341 2.905
5.051 4.794 2.862
Co Zn K
1 2 1
direct
0.000 0.000 0.391
0.000 0.000 0.079
0.500 0.500 0.301
0.500 0.500 0.729